No. 1
# DySc3Pd12 PBE relaxed
data_DySc3Pd12
_symmetry_space_group_name_H-M 'P 4/m m m'
_symmetry_Int_Tables_number 123
_symmetry_space_group_name_Hall '-P 4 2'
_cell_length_a 4.040
_cell_length_b 4.040
_cell_length_c 16.138
_cell_angle_alpha 90.00
_cell_angle_beta 90.00
_cell_angle_gamma 90.00
loop_
_atom_site_label
_atom_site_type_symbol
_atom_site_fract_x
_atom_site_fract_y
_atom_site_fract_z
_atom_site_occupancy
Dy1 Dy 0.000 0.000 0.000 1
Sc1 Sc 0.000 0.000 0.254 1
Sc2 Sc 0.000 0.000 0.500 1
Pd1 Pd 0.000 0.500 0.131 1
Pd2 Pd 0.000 0.500 0.377 1
Pd3 Pd 0.500 0.500 0.000 1
Pd4 Pd 0.500 0.500 0.254 1
Pd5 Pd 0.500 0.500 0.500 1
# V (A^3/atom): 16.46
# ΔE_f (meV/atom): -847
# Spin magnetization (μB per atom): 0.000

***

No. 2
# DyScPd4 PBE relaxed
data_DyScPd4
_symmetry_space_group_name_H-M 'F -4 3 m'
_symmetry_Int_Tables_number 216
_symmetry_space_group_name_Hall 'F -4 2 3'
_cell_length_a 7.604
_cell_length_b 7.604
_cell_length_c 7.604
_cell_angle_alpha 90.00
_cell_angle_beta 90.00
_cell_angle_gamma 90.00
loop_
_atom_site_label
_atom_site_type_symbol
_atom_site_fract_x
_atom_site_fract_y
_atom_site_fract_z
_atom_site_occupancy
Dy1 Dy 0.000 0.000 0.000 1
Sc1 Sc 0.250 0.250 0.750 1
Pd1 Pd 0.125 0.125 0.375 1
# V (A^3/atom): 18.32
# ΔE_f (meV/atom): -739
# Spin magnetization (μB per atom): 0.000

***

No. 3
# Dy2Sc3Pd2 PBE relaxed
data_Dy2Sc3Pd2
_symmetry_space_group_name_H-M 'C 1 2/m 1'
_symmetry_Int_Tables_number 12
_cell_length_a 11.849
_cell_length_b 3.597
_cell_length_c 8.573
_cell_angle_alpha 90.00
_cell_angle_beta 116.75
_cell_angle_gamma 90.00
loop_
_symmetry_equiv_pos_as_xyz
'x,y,z'
'-x,-y,-z'
'-x,y,-z'
'x,-y,z'
'x+1/2,y+1/2,z'
'-x+1/2,-y+1/2,-z'
'-x+1/2,y+1/2,-z'
'x+1/2,-y+1/2,z'
loop_
_atom_site_label
_atom_site_type_symbol
_atom_site_fract_x
_atom_site_fract_y
_atom_site_fract_z
_atom_site_occupancy
Dy1 Dy 0.149 0.000 0.307 1
Sc1 Sc 0.000 0.500 0.500 1
Sc2 Sc 0.114 0.500 0.942 1
Pd1 Pd 0.164 0.000 0.735 1
# V (A^3/atom): 23.31
# ΔE_f (meV/atom): -518
# Spin magnetization (μB per atom): 0.000

***

No. 4
# DyScPd4 PBE relaxed
data_DyScPd4
_symmetry_space_group_name_H-M 'P n m a'
_symmetry_Int_Tables_number 62
_cell_length_a 6.697
_cell_length_b 3.988
_cell_length_c 16.722
_cell_angle_alpha 90.00
_cell_angle_beta 90.00
_cell_angle_gamma 90.00
loop_
_symmetry_equiv_pos_as_xyz
'x,y,z'
'-x,-y,-z'
'-x+1/2,-y,z+1/2'
'x+1/2,y,-z+1/2'
'x+1/2,-y+1/2,-z+1/2'
'-x+1/2,y+1/2,z+1/2'
'-x,y+1/2,-z'
'x,-y+1/2,z'
loop_
_atom_site_label
_atom_site_type_symbol
_atom_site_fract_x
_atom_site_fract_y
_atom_site_fract_z
_atom_site_occupancy
Dy1 Dy 0.176 0.250 0.211 1
Sc1 Sc 0.191 0.750 0.475 1
Pd1 Pd 0.041 0.750 0.940 1
Pd2 Pd 0.057 0.250 0.375 1
Pd3 Pd 0.144 0.250 0.823 1
Pd4 Pd 0.234 0.250 0.589 1
# V (A^3/atom): 18.61
# ΔE_f (meV/atom): -763
# Spin magnetization (μB per atom): 0.000

***

No. 5
# DySc2Pd4 PBE relaxed
data_DySc2Pd4
_symmetry_space_group_name_H-M 'P 4/m m m'
_symmetry_Int_Tables_number 123
_symmetry_space_group_name_Hall '-P 4 2'
_cell_length_a 4.582
_cell_length_b 4.582
_cell_length_c 6.698
_cell_angle_alpha 90.00
_cell_angle_beta 90.00
_cell_angle_gamma 90.00
loop_
_atom_site_label
_atom_site_type_symbol
_atom_site_fract_x
_atom_site_fract_y
_atom_site_fract_z
_atom_site_occupancy
Dy1 Dy 0.000 0.000 0.000 1
Sc1 Sc 0.000 0.000 0.500 1
Sc2 Sc 0.500 0.500 0.000 1
Pd1 Pd 0.000 0.500 0.265 1
# V (A^3/atom): 20.09
# ΔE_f (meV/atom): -649
# Spin magnetization (μB per atom): 0.000

***

No. 6
# DyScPd6 PBE relaxed
data_DyScPd6
_symmetry_space_group_name_H-M 'P 4/m m m'
_symmetry_Int_Tables_number 123
_symmetry_space_group_name_Hall '-P 4 2'
_cell_length_a 4.075
_cell_length_b 4.075
_cell_length_c 8.104
_cell_angle_alpha 90.00
_cell_angle_beta 90.00
_cell_angle_gamma 90.00
loop_
_atom_site_label
_atom_site_type_symbol
_atom_site_fract_x
_atom_site_fract_y
_atom_site_fract_z
_atom_site_occupancy
Dy1 Dy 0.000 0.000 0.000 1
Sc1 Sc 0.000 0.000 0.500 1
Pd1 Pd 0.000 0.500 0.259 1
Pd2 Pd 0.500 0.500 0.000 1
Pd3 Pd 0.500 0.500 0.500 1
# V (A^3/atom): 16.82
# ΔE_f (meV/atom): -852
# Spin magnetization (μB per atom): 0.000

***

No. 7
# DySc3Pd PBE relaxed
data_DySc3Pd
_symmetry_space_group_name_H-M 'P n m a'
_symmetry_Int_Tables_number 62
_cell_length_a 9.870
_cell_length_b 3.600
_cell_length_c 13.339
_cell_angle_alpha 90.00
_cell_angle_beta 90.00
_cell_angle_gamma 90.00
loop_
_symmetry_equiv_pos_as_xyz
'x,y,z'
'-x,-y,-z'
'-x+1/2,-y,z+1/2'
'x+1/2,y,-z+1/2'
'x+1/2,-y+1/2,-z+1/2'
'-x+1/2,y+1/2,z+1/2'
'-x,y+1/2,-z'
'x,-y+1/2,z'
loop_
_atom_site_label
_atom_site_type_symbol
_atom_site_fract_x
_atom_site_fract_y
_atom_site_fract_z
_atom_site_occupancy
Dy1 Dy 0.157 0.250 0.021 1
Sc1 Sc 0.084 0.250 0.414 1
Sc2 Sc 0.109 0.750 0.801 1
Sc3 Sc 0.148 0.750 0.229 1
Pd1 Pd 0.114 0.250 0.631 1
# V (A^3/atom): 23.70
# ΔE_f (meV/atom): -328
# Spin magnetization (μB per atom): 0.000

***

No. 8
# DySc2Pd PBE relaxed
data_DySc2Pd
_symmetry_space_group_name_H-M 'R -3 m'
_symmetry_Int_Tables_number 166
_symmetry_space_group_name_Hall '-R 3 2"'
_cell_length_a 4.7927
_cell_length_b 4.7927
_cell_length_c 13.6379
_cell_angle_alpha 90.00
_cell_angle_beta 90.00
_cell_angle_gamma 120.00
loop_
_atom_site_label
_atom_site_type_symbol
_atom_site_fract_x
_atom_site_fract_y
_atom_site_fract_z
_atom_site_occupancy
Dy1 Dy 0.0000 0.0000 0.0000 1
Sc1 Sc 0.0000 0.0000 0.2287 1
Pd1 Pd 0.0000 0.0000 0.5000 1
# V (A^3/atom): 22.61
# ΔE_f (meV/atom): -149
# Spin magnetization (μB per atom): 0.001

***

No. 9
# Dy5ScPd6 PBE relaxed
data_Dy5ScPd6
_symmetry_space_group_name_H-M 'C 1 2/m 1'
_symmetry_Int_Tables_number 12
_cell_length_a 15.717
_cell_length_b 6.800
_cell_length_c 4.960
_cell_angle_alpha 90.00
_cell_angle_beta 108.11
_cell_angle_gamma 90.00
loop_
_symmetry_equiv_pos_as_xyz
'x,y,z'
'-x,-y,-z'
'-x,y,-z'
'x,-y,z'
'x+1/2,y+1/2,z'
'-x+1/2,-y+1/2,-z'
'-x+1/2,y+1/2,-z'
'x+1/2,-y+1/2,z'
loop_
_atom_site_label
_atom_site_type_symbol
_atom_site_fract_x
_atom_site_fract_y
_atom_site_fract_z
_atom_site_occupancy
Dy1 Dy 0.000 0.000 0.000 1
Dy2 Dy 0.165 0.500 0.666 1
Dy3 Dy 0.167 0.000 0.668 1
Sc1 Sc 0.000 0.500 0.000 1
Pd1 Pd 0.000 0.259 0.500 1
Pd2 Pd 0.159 0.257 0.161 1
# V (A^3/atom): 20.99
# ΔE_f (meV/atom): -881
# Spin magnetization (μB per atom): 0.000

***

No. 10
# Dy3Sc2Pd2 PBE relaxed
data_Dy3Sc2Pd2
_symmetry_space_group_name_H-M 'C 1 2/m 1'
_symmetry_Int_Tables_number 12
_cell_length_a 12.164
_cell_length_b 3.591
_cell_length_c 8.853
_cell_angle_alpha 90.00
_cell_angle_beta 116.44
_cell_angle_gamma 90.00
loop_
_symmetry_equiv_pos_as_xyz
'x,y,z'
'-x,-y,-z'
'-x,y,-z'
'x,-y,z'
'x+1/2,y+1/2,z'
'-x+1/2,-y+1/2,-z'
'-x+1/2,y+1/2,-z'
'x+1/2,-y+1/2,z'
loop_
_atom_site_label
_atom_site_type_symbol
_atom_site_fract_x
_atom_site_fract_y
_atom_site_fract_z
_atom_site_occupancy
Dy1 Dy 0.000 0.000 0.000 1
Dy2 Dy 0.110 0.000 0.438 1
Sc1 Sc 0.162 0.500 0.822 1
Pd1 Pd 0.183 0.500 0.231 1
# V (A^3/atom): 24.74
# ΔE_f (meV/atom): -481
# Spin magnetization (μB per atom): 0.001

***

No. 11
# DySc2Pd PBE relaxed
data_DySc2Pd
_symmetry_space_group_name_H-M 'C m c m'
_symmetry_Int_Tables_number 63
_symmetry_space_group_name_Hall '-C 2c 2'
_cell_length_a 4.646
_cell_length_b 11.080
_cell_length_c 7.382
_cell_angle_alpha 90.00
_cell_angle_beta 90.00
_cell_angle_gamma 90.00
loop_
_atom_site_label
_atom_site_type_symbol
_atom_site_fract_x
_atom_site_fract_y
_atom_site_fract_z
_atom_site_occupancy
Dy1 Dy 0.000 0.052 0.250 1
Sc1 Sc 0.000 0.349 0.041 1
Pd1 Pd 0.000 0.202 0.750 1
# V (A^3/atom): 23.75
# ΔE_f (meV/atom): -434
# Spin magnetization (μB per atom): 0.000

***

No. 12
# Dy3ScPd2 PBE relaxed
data_Dy3ScPd2
_symmetry_space_group_name_H-M 'C 1 2/m 1'
_symmetry_Int_Tables_number 12
_cell_length_a 15.703
_cell_length_b 4.019
_cell_length_c 4.872
_cell_angle_alpha 90.00
_cell_angle_beta 107.99
_cell_angle_gamma 90.00
loop_
_symmetry_equiv_pos_as_xyz
'x,y,z'
'-x,-y,-z'
'-x,y,-z'
'x,-y,z'
'x+1/2,y+1/2,z'
'-x+1/2,-y+1/2,-z'
'-x+1/2,y+1/2,-z'
'x+1/2,-y+1/2,z'
loop_
_atom_site_label
_atom_site_type_symbol
_atom_site_fract_x
_atom_site_fract_y
_atom_site_fract_z
_atom_site_occupancy
Dy1 Dy 0.000 0.000 0.000 1
Dy2 Dy 0.183 0.500 0.184 1
Sc1 Sc 0.000 0.500 0.500 1
Pd1 Pd 0.129 0.000 0.628 1
# V (A^3/atom): 24.37
# ΔE_f (meV/atom): -541
# Spin magnetization (μB per atom): 0.000

***

Q: Which of these has the lowest V?
A: DySc3Pd12

***

Q: Among the records above, which one has the lowest ΔE_f?
A: Dy5ScPd6